Entry 1:
# UTiAgS4 (GGA-PBE, relaxed)
data_UTiAgS4
_space_group_name_H-M_alt 'I m m a'
_space_group_IT_number 74
_space_group_name_Hall '-I 2b 2'
_cell_length_a 7.334
_cell_length_b 8.073
_cell_length_c 10.465
_cell_angle_alpha 90.00
_cell_angle_beta 90.00
_cell_angle_gamma 90.00
loop_
_atom_site_label
_atom_site_type_symbol
_atom_site_fract_x
_atom_site_fract_y
_atom_site_fract_z
U1 U 0.000 0.000 0.000
Ti1 Ti 0.250 0.250 0.250
Ag1 Ag 0.000 0.250 0.656
S1 S 0.000 0.039 0.254
S2 S 0.242 0.250 0.012
# E_tot = -6.6162 eV per atom
# total magnetic moment = 12.0 μB/cell
# crystal system = orthorhombic


Entry 2:
# Ti3VAg3S8 (GGA-PBE, relaxed)
data_Ti3VAg3S8
_space_group_name_H-M_alt 'C 1 2/m 1'
_space_group_IT_number 12
_cell_length_a 11.819
_cell_length_b 6.825
_cell_length_c 7.981
_cell_angle_alpha 90.00
_cell_angle_beta 119.94
_cell_angle_gamma 90.00
loop_
_space_group_symop_operation_xyz
'x,y,z'
'-x,-y,-z'
'-x,y,-z'
'x,-y,z'
'x+1/2,y+1/2,z'
'-x+1/2,-y+1/2,-z'
'-x+1/2,y+1/2,-z'
'x+1/2,-y+1/2,z'
loop_
_atom_site_label
_atom_site_type_symbol
_atom_site_fract_x
_atom_site_fract_y
_atom_site_fract_z
Ti1 Ti 0.000 0.000 0.000
Ti2 Ti 0.250 0.250 0.000
V1 V 0.000 0.500 0.000
Ag1 Ag 0.000 0.500 0.500
Ag2 Ag 0.250 0.250 0.500
S1 S 0.011 0.254 0.789
S2 S 0.235 0.500 0.211
S3 S 0.237 0.000 0.208
# E_tot = -5.7965 eV per atom
# total magnetic moment = 4.3 μB/cell
# crystal system = monoclinic